Density functional theory data (PBE) for ScAl2As after structural relaxation.

Structure (CIF):
```
data_ScAl2As
_cell_length_a 3.995
_cell_length_b 3.995
_cell_length_c 4.490
_cell_angle_alpha 90.00
_cell_angle_beta 90.00
_cell_angle_gamma 90.00
_symmetry_space_group_name_H-M 'P 4/m m m'
_symmetry_Int_Tables_number 123
_symmetry_space_group_name_Hall '-P 4 2'
loop_
_atom_site_label
_atom_site_fract_x
_atom_site_fract_y
_atom_site_fract_z
Sc1 0.000 0.000 0.000
Al1 0.000 0.500 0.500
As1 0.500 0.500 0.000
```

Summary:
Its crystal system is tetragonal. The value obtained for the formation energy from the elements is -0.419 eV/atom. The calculation puts the density of states at the Fermi level at 1.77 states/eV/f.u. As for the total DFT energy (no corrections): -20.14 eV per formula unit. As for the magnetic moment: 0.00 Bohr magnetons per cell.